Here is a relaxed structure of CrTcTeI2 from Alexandria via LeMat-Bulk. Energies are from PBE.

The structure belongs to space group P4/mmm (No. 123); the cell edges are 5.501, 5.501 and 5.156 Å and the angles 90.00°, 90.00° and 90.00°. The asymmetric unit holds Cr at (0.000, 0.000, 0.000), Tc at (0.500, 0.500, 0.500), Te at (0.500, 0.500, 0.000) and I at (0.000, 0.500, 0.500).

The calculation puts the raw total energy at -22.293 eV/cell. For the excess energy over the best structure of this formula in the dataset, the calculation gives 0 meV per atom. The calculation puts the energy relative to the elements, uncorrected at 76 kJ per mole of atoms. The calculation puts the size of the total moment at 1.02 μB/atom.



Here is a relaxed structure of CsTeI from Alexandria via LeMat-Bulk. Energies are from PBE.

The structure belongs to space group P-1 (No. 2); the cell edges are 4.888, 5.871 and 12.189 Å and the angles 90.09°, 101.20° and 90.16°. The asymmetric unit holds Cs at (0.171, 0.252, 0.333), Te at (0.262, 0.896, 0.029) and I at (0.324, 0.249, 0.659).

The calculation puts the raw total energy at -16.428 eV/cell. The calculation puts the energy relative to the elements, uncorrected at -86 kJ per mole of atoms. The calculation puts the size of the total moment at 0.00 μB/atom.